No. 1
The following is a DFT calculation (GGA-PBE) of a geometry-optimized YTc2HgAu structure.

Properties
Crystal system   tetragonal
Total magnetization   4.446 μB per formula unit
Energy   -4.878 eV per atom
Symmetry   No. 123
DOS(E_F)   6.2 states/eV/cell
E_form   1.278 eV per atom

a = 5.0257 Å, b = 5.0257 Å, c = 5.0708 Å
α = 90.00°, β = 90.00°, γ = 90.00°
Last column: nearest neighbours and their distance in Å.
Fractional coordinates of all 5 atoms:
Y  0.0000  0.0000  0.0000  4 Hg 3.55, 8 Tc 3.57
Tc  0.0000  0.5000  0.5000  2 Au 2.51
Tc  0.5000  0.0000  0.5000  2 Au 2.51
Hg  0.5000  0.5000  0.0000  2 Au 2.54
Au  0.5000  0.5000  0.5000  4 Tc 2.51, 2 Hg 2.54

=====

No. 2
The following is a DFT calculation (GGA-PBE) of a geometry-optimized MgZnHgSb structure.

Properties
Crystal system   cubic
Total magnetization   0.000 μB per formula unit
Energy   -1.805 eV per atom
Symmetry   No. 216
DOS(E_F)   3.4 states/eV/cell

a = 5.0699 Å, b = 5.0699 Å, c = 5.0699 Å
α = 60.00°, β = 60.00°, γ = 60.00°
Last column: nearest neighbours and their distance in Å.
Fractional coordinates of all 4 atoms:
Mg  0.0000  0.0000  0.0000  4 Hg 3.10, 4 Sb 3.10
Zn  0.5000  0.5000  0.5000  4 Sb 3.10, 4 Hg 3.10
Hg  0.7500  0.7500  0.7500  4 Zn 3.10, 4 Mg 3.10
Sb  0.2500  0.2500  0.2500  4 Zn 3.10, 4 Mg 3.10

=====

No. 3
The following is a DFT calculation (GGA-PBE) of a geometry-optimized ErScHg2 structure.

Properties
Crystal system   cubic
Total magnetization   0.279 μB per formula unit
Energy   -3.322 eV per atom
Offset from the most stable computed form   2 meV/atom
Symmetry   No. 225
DOS(E_F)   3.9 states/eV/cell
E_form   -0.448 eV per atom

a = 5.1031 Å, b = 5.1031 Å, c = 5.1031 Å
α = 60.00°, β = 60.00°, γ = 60.00°
Last column: nearest neighbours and their distance in Å.
Fractional coordinates of all 4 atoms:
Er  0.0000  0.0000  0.0000  8 Hg 3.12
Sc  0.5000  0.5000  0.5000  8 Hg 3.12
Hg  0.2500  0.2500  0.2500  4 Er 3.12, 4 Sc 3.12
Hg  0.7500  0.7500  0.7500  4 Er 3.12, 4 Sc 3.12

=====

No. 4
The following is a DFT calculation (GGA-PBE) of a geometry-optimized ErTiNiRh structure.

Properties
Crystal system   cubic
Total magnetization   0.002 μB per formula unit
Energy   -6.888 eV per atom
Symmetry   No. 216
DOS(E_F)   6.0 states/eV/cell
E_form   -0.490 eV per atom

a = 4.5660 Å, b = 4.5660 Å, c = 4.5660 Å
α = 60.00°, β = 60.00°, γ = 60.00°
Last column: nearest neighbours and their distance in Å.
Fractional coordinates of all 4 atoms:
Er  0.0000  0.0000  0.0000  4 Ni 2.80, 4 Rh 2.80
Ti  0.5000  0.5000  0.5000  4 Ni 2.80, 4 Rh 2.80
Ni  0.2500  0.2500  0.2500  4 Er 2.80, 4 Ti 2.80
Rh  0.7500  0.7500  0.7500  4 Er 2.80, 4 Ti 2.80

=====

No. 5
The following is a DFT calculation (GGA-PBE) of a geometry-optimized TbTiSe2 structure.

Properties
Crystal system   trigonal
Total magnetization   1.007 μB per formula unit
Energy   -6.192 eV per atom
Offset from the most stable computed form   0 meV/atom
Symmetry   No. 160
DOS(E_F)   2.8 states/eV/cell

a = 7.1015 Å, b = 7.1015 Å, c = 7.1015 Å
α = 31.26°, β = 31.26°, γ = 31.26°
Last column: nearest neighbours and their distance in Å.
Fractional coordinates of all 4 atoms:
Tb  0.0000  0.0000  0.0000  6 Se 2.87-2.93
Ti  0.1750  0.1750  0.1750  6 Se 2.60-2.74
Se  0.5760  0.5760  0.5760  3 Ti 2.60, 3 Tb 2.87
Se  0.7615  0.7615  0.7615  3 Ti 2.74, 3 Tb 2.93

=====

No. 6
The following is a DFT calculation (GGA-PBE) of a geometry-optimized Nd4SiCI2 structure.

Properties
Crystal system   monoclinic
Total magnetization   0.000 μB per formula unit
Energy   -5.392 eV per atom
Symmetry   No. 10
DOS(E_F)   4.1 states/eV/cell

a = 7.1755 Å, b = 4.0939 Å, c = 8.1574 Å
α = 90.00°, β = 106.98°, γ = 90.00°
Last column: nearest neighbours and their distance in Å.
Fractional coordinates of all 8 atoms:
Nd  0.2039  0.0000  0.1781  2 C 2.68, 1 Si 2.90
Nd  0.2418  0.5000  0.8135  1 C 2.62, 2 Si 2.88
Nd  0.7582  0.5000  0.1865  1 C 2.62, 2 Si 2.88
Nd  0.7961  0.0000  0.8219  2 C 2.68, 1 Si 2.90
Si  0.5000  0.0000  0.0000  6 Nd 2.88-2.90
C  0.0000  0.5000  0.0000  6 Nd 2.62-2.68
I  0.0000  0.0000  0.5000  6 Nd 3.34-3.36
I  0.5000  0.5000  0.5000  6 Nd 3.51-3.57

=====

No. 7
The following is a DFT calculation (GGA-PBE) of a geometry-optimized Th2CdNi4Sn3 structure.

Properties
Crystal system   tetragonal
Total magnetization   0.000 μB per formula unit
Energy   -5.529 eV per atom
Symmetry   No. 115
DOS(E_F)   7.2 states/eV/cell
E_form   -0.441 eV per atom

a = 4.4378 Å, b = 4.4378 Å, c = 10.1802 Å
α = 90.00°, β = 90.00°, γ = 90.00°
Last column: nearest neighbours and their distance in Å.
Fractional coordinates of all 10 atoms:
Th  0.0000  0.5000  0.2323  8 Ni 3.24-3.43, 6 Sn 3.32-3.51, 2 Cd 3.51
Th  0.5000  0.0000  0.7677  8 Ni 3.24-3.43, 6 Sn 3.32-3.51, 2 Cd 3.51
Cd  0.0000  0.0000  0.5000  4 Ni 2.60
Ni  0.0000  0.0000  0.0000  4 Sn 2.56
Ni  0.0000  0.5000  0.6325  3 Sn 2.46-2.60, 2 Cd 2.60
Ni  0.5000  0.0000  0.3675  3 Sn 2.46-2.60, 2 Cd 2.60
Ni  0.5000  0.5000  0.0000  4 Sn 2.56
Sn  0.0000  0.5000  0.8742  5 Ni 2.46-2.56
Sn  0.5000  0.0000  0.1258  5 Ni 2.46-2.56
Sn  0.5000  0.5000  0.5000  4 Ni 2.60

=====

No. 8
The following is a DFT calculation (GGA-PBE) of a geometry-optimized GePCl structure.

Properties
Crystal system   triclinic
Total magnetization   0.000 μB per formula unit
Energy   -4.314 eV per atom
Offset from the most stable computed form   0 meV/atom
Symmetry   No. 1
DOS(E_F)   0.0 states/eV/cell

a = 3.6484 Å, b = 6.1798 Å, c = 7.4147 Å
α = 89.95°, β = 89.94°, γ = 90.00°
Last column: nearest neighbours and their distance in Å.
Fractional coordinates of all 6 atoms:
Ge  0.0000  0.0000  0.0000  1 Cl 2.19, 3 P 2.37-2.38
Ge  0.4998  0.4999  0.1039  1 Cl 2.19, 3 P 2.37-2.38
P  0.0003  0.6253  0.9288  3 Ge 2.37-2.38
P  0.4997  0.1251  0.1751  3 Ge 2.37-2.38
Cl  0.0007  0.1314  0.7250  1 Ge 2.19
Cl  0.5000  0.6305  0.3790  1 Ge 2.19